Entry 1:
Entry from Alexandria via LeMat-Bulk: a geometry-optimized CoReRu structure (PBE).

a = 5.8317 Å, b = 5.8317 Å, c = 5.8317 Å
α = 153.47°, β = 153.47°, γ = 37.87°
With the nearest neighbours (Å) after each atom.
Element x y z (fractional)
1 Co 0.0000 0.0000 0.0000  4 Re 2.58, 4 Ru 2.63, 4 Co 2.68
2 Re 0.3412 0.3412 0.0000  4 Co 2.58, 4 Re 2.68, 4 Ru 2.71
3 Ru 0.6650 0.6650 0.0000  4 Co 2.63, 4 Ru 2.68, 4 Re 2.71

Computed properties:
DFT formation energy: 9.1 kJ per mole of atoms
distance to the lowest polymorph of the same formula: 37 meV per atom

Entry 2:
Entry from Alexandria via LeMat-Bulk: a geometry-optimized Co2ReRu2 structure (PBE).

a = 6.8890 Å, b = 6.8890 Å, c = 2.7075 Å
α = 90.00°, β = 90.00°, γ = 90.00°
With the nearest neighbours (Å) after each atom.
Element x y z (fractional)
1 Co 0.1205 0.3795 0.0000  1 Co 2.35, 6 Ru 2.41-2.48
2 Co 0.3795 0.8795 0.0000  1 Co 2.35, 6 Ru 2.41-2.48
3 Co 0.6205 0.1205 0.0000  1 Co 2.35, 6 Ru 2.41-2.48
4 Co 0.8795 0.6205 0.0000  1 Co 2.35, 6 Ru 2.41-2.48
5 Re 0.0000 0.0000 0.0000  2 Re 2.71, 4 Co 2.74, 8 Ru 2.88
6 Re 0.5000 0.5000 0.0000  2 Re 2.71, 4 Co 2.74, 8 Ru 2.88
7 Ru 0.1754 0.6754 0.5000  6 Co 2.41-2.48
8 Ru 0.3246 0.1754 0.5000  6 Co 2.41-2.48
9 Ru 0.6754 0.8246 0.5000  6 Co 2.41-2.48
10 Ru 0.8246 0.3246 0.5000  6 Co 2.41-2.48

Computed properties:
DFT formation energy: 22.6 kJ per mole of atoms

Entry 3:
Entry from Alexandria via LeMat-Bulk: a geometry-optimized CoReRu2 structure (PBE).

a = 4.5762 Å, b = 4.5762 Å, c = 4.5762 Å
α = 53.17°, β = 53.17°, γ = 53.17°
With the nearest neighbours (Å) after each atom.
Element x y z (fractional)
1 Co 0.0000 0.0000 0.0000  3 Ru 2.37, 1 Re 2.53
2 Re 0.2153 0.2153 0.2153  4 Co 2.53-2.74, 7 Ru 2.61-2.71
3 Ru 0.4378 0.4378 0.4378  4 Re 2.61-2.70, 4 Ru 2.62-2.70, 3 Co 2.66
4 Ru 0.6609 0.6609 0.6609  3 Co 2.37, 1 Ru 2.62

Computed properties:
DFT formation energy: 40.8 kJ per mole of atoms
distance to the lowest polymorph of the same formula: 352 meV per atom

Entry 4:
Entry from Alexandria via LeMat-Bulk: a geometry-optimized CoReRu2 structure (PBE).

a = 2.6502 Å, b = 2.6502 Å, c = 8.8661 Å
α = 90.00°, β = 90.00°, γ = 116.28°
With the nearest neighbours (Å) after each atom.
Element x y z (fractional)
1 Co 0.0000 0.0000 0.0000  2 Ru 2.56, 2 Re 2.57, 6 Co 2.65-2.80
2 Re 0.5000 0.5000 0.2435  2 Co 2.57, 6 Re 2.65-2.80, 2 Ru 2.66
3 Ru 0.0000 0.0000 0.4992  8 Ru 2.65-2.80, 2 Re 2.66
4 Ru 0.5000 0.5000 0.7585  2 Co 2.56, 8 Ru 2.65-2.80

Computed properties:
DFT formation energy: 40.3 kJ per mole of atoms
distance to the lowest polymorph of the same formula: 346 meV per atom

Entry 5:
Entry from Alexandria via LeMat-Bulk: a geometry-optimized CoReRu2 structure (PBE).

a = 8.8065 Å, b = 8.8065 Å, c = 8.8065 Å
α = 17.64°, β = 17.64°, γ = 17.64°
With the nearest neighbours (Å) after each atom.
Element x y z (fractional)
1 Co 0.0000 0.0000 0.0000  6 Ru 2.63, 6 Co 2.70
2 Re 0.5000 0.5000 0.5000  6 Re 2.70, 6 Ru 2.71
3 Ru 0.2520 0.2520 0.2520  3 Co 2.63, 6 Ru 2.70, 3 Re 2.71
4 Ru 0.7480 0.7480 0.7480  3 Co 2.63, 6 Ru 2.70, 3 Re 2.71

Computed properties:
DFT formation energy: 13.6 kJ per mole of atoms
distance to the lowest polymorph of the same formula: 70 meV per atom

Entry 6:
Entry from Alexandria via LeMat-Bulk: a geometry-optimized CoRe4Ru structure (PBE).

a = 5.0923 Å, b = 5.0923 Å, c = 5.0923 Å
α = 60.00°, β = 60.00°, γ = 60.00°
With the nearest neighbours (Å) after each atom.
Element x y z (fractional)
1 Co 0.0000 0.0000 0.0000  12 Re 2.98, 4 Ru 3.12
2 Re 0.1231 0.6256 0.6256  6 Re 2.53-2.56
3 Re 0.6256 0.1231 0.6256  6 Re 2.53-2.56
4 Re 0.6256 0.6256 0.1231  6 Re 2.53-2.56
5 Re 0.6256 0.6256 0.6256  6 Re 2.53-2.56
6 Ru 0.2500 0.2500 0.2500  12 Re 2.99, 4 Co 3.12

Computed properties:
DFT formation energy: 53.0 kJ per mole of atoms

Entry 7:
Entry from Alexandria via LeMat-Bulk: a geometry-optimized CoReRu2 structure (PBE).

a = 3.7777 Å, b = 3.7777 Å, c = 3.7374 Å
α = 90.00°, β = 90.00°, γ = 90.00°
With the nearest neighbours (Å) after each atom.
Element x y z (fractional)
1 Co 0.0000 0.0000 0.0000  8 Ru 2.66, 4 Re 2.67
2 Re 0.5000 0.5000 0.0000  8 Ru 2.66, 4 Co 2.67
3 Ru 0.0000 0.5000 0.5000  4 Re 2.66, 4 Co 2.66, 4 Ru 2.67
4 Ru 0.5000 0.0000 0.5000  4 Re 2.66, 4 Co 2.66, 4 Ru 2.67

Computed properties:
DFT formation energy: 6.9 kJ per mole of atoms
distance to the lowest polymorph of the same formula: 0 meV per atom

Entry 8:
Entry from Alexandria via LeMat-Bulk: a geometry-optimized CoReRu structure (PBE).

a = 6.9407 Å, b = 6.7169 Å, c = 2.6479 Å
α = 83.62°, β = 74.10°, γ = 22.28°
With the nearest neighbours (Å) after each atom.
Element x y z (fractional)
1 Co 0.0000 0.0000 0.0000  2 Re 2.56, 2 Ru 2.58, 6 Co 2.65-2.81
2 Re 0.6628 0.6628 0.3372  2 Co 2.56, 6 Re 2.65-2.81, 2 Ru 2.67
3 Ru 0.3353 0.3353 0.6647  2 Co 2.58, 6 Ru 2.65-2.81, 2 Re 2.67

Computed properties:
DFT formation energy: 36.7 kJ per mole of atoms
distance to the lowest polymorph of the same formula: 324 meV per atom

What did the fifth record say?
Entry from Alexandria via LeMat-Bulk: a geometry-optimized CoReRu2 structure (PBE).

a = 8.8065 Å, b = 8.8065 Å, c = 8.8065 Å
α = 17.64°, β = 17.64°, γ = 17.64°
With the nearest neighbours (Å) after each atom.
Element x y z (fractional)
1 Co 0.0000 0.0000 0.0000  6 Ru 2.63, 6 Co 2.70
2 Re 0.5000 0.5000 0.5000  6 Re 2.70, 6 Ru 2.71
3 Ru 0.2520 0.2520 0.2520  3 Co 2.63, 6 Ru 2.70, 3 Re 2.71
4 Ru 0.7480 0.7480 0.7480  3 Co 2.63, 6 Ru 2.70, 3 Re 2.71

Computed properties:
DFT formation energy: 13.6 kJ per mole of atoms
distance to the lowest polymorph of the same formula: 70 meV per atom

Question: What is the DFT formation energy in the fifth record?
Answer: 13.6 kJ per mole of atoms

Question: Which value of DFT formation energy does entry 8 give?
Answer: 36.7 kJ per mole of atoms